Record 1
FeSb2As after structural relaxation. Source: the Alexandria database, functional GGA-PBEsol.

uncorrected formation energy = 0.25 eV/atom
V = 79.84 Å³/f.u.
electronic total energy = -66.51 eV for the cell shown
mass density = 7.785 Mg/m³

abc: 3.5658 3.5658 21.7513
angles: 90.00 90.00 120.00
With the nearest neighbours (Å) after each atom.
Space group R-3m (No. 166, hexagonal axes)
Inequivalent atoms, fractional coordinates:
1 Fe 0.0000 0.0000 0.0000 x3  6 Sb 2.61
2 Sb 0.0000 0.0000 0.2594 x6  3 Fe 2.61, 3 As 2.88
3 As 0.0000 0.0000 0.5000 x3  6 Sb 2.88

Record 2
FeSb2As after structural relaxation. Source: the Alexandria database, functional GGA-PBEsol.

uncorrected formation energy = 0.27 eV/atom
V = 75.60 Å³/f.u.
electronic total energy = -22.11 eV for the cell shown
mass density = 8.222 Mg/m³

abc: 3.1938 3.1938 7.4109
angles: 90.00 90.00 90.00
With the nearest neighbours (Å) after each atom.
Space group P4/mmm (No. 123)
Inequivalent atoms, fractional coordinates:
1 Fe 0.0000 0.0000 0.0000 x1  8 Sb 2.74
2 Sb 0.5000 0.5000 0.2094 x2  4 Fe 2.74
3 As 0.0000 0.0000 0.5000 x1  8 Sb 3.12, 4 As 3.19

Q: Number 2 is which compound?
A: FeSb2As

Q: The highest uncorrected formation energy belongs to which entry?
A: number 2